# 1
Here is a relaxed structure of CaY4Ag5 from the Alexandria database. Energies are from PBE.

Lattice parameters (Å, degrees): 3.633 3.633 18.537 90.00 90.00 90.00
Fractional coordinates of all 10 atoms:
Ca1 0.000 0.000 0.000
Y1 0.000 0.000 0.201
Y2 0.000 0.000 0.401
Y3 0.000 0.000 0.599
Y4 0.000 0.000 0.799
Ag1 0.500 0.500 0.108
Ag2 0.500 0.500 0.301
Ag3 0.500 0.500 0.500
Ag4 0.500 0.500 0.699
Ag5 0.500 0.500 0.892

## Properties
total moment = 0.00 μB per cell
ΔH_f (0 K) = -0.3293 eV per atom

---

# 2
Here is a relaxed structure of KRuRh2 from the Alexandria database. Energies are from PBE.

Lattice parameters (Å, degrees): 2.779 2.779 9.193 90.00 90.00 90.00
Fractional coordinates of all 4 atoms:
K1 0.500 0.500 0.755
Rh1 0.000 0.000 0.049
Rh2 0.500 0.500 0.252
Ru1 0.000 0.000 0.444

## Properties
total moment = 0.00 μB per cell
ΔH_f (0 K) = 0.6006 eV per atom
energy above the lowest structure with this stoichiometry = 0.167 eV/atom

---

# 3
Here is a relaxed structure of ZrAlNi from the Alexandria database. Energies are from PBE.

Lattice parameters (Å, degrees): 4.387 4.387 4.387 60.00 60.00 60.00
Fractional coordinates of all 3 atoms:
Ni1 0.250 0.250 0.250
Al1 0.750 0.750 0.750
Zr1 0.000 0.000 0.000

## Properties
total moment = 0.00 μB per cell
ΔH_f (0 K) = 0.3383 eV per atom

---

# 4
Here is a relaxed structure of Li12Ga2Cu from the Alexandria database. Energies are from PBE.

Lattice parameters (Å, degrees): 5.322 5.322 20.274 90.00 90.00 90.00
Fractional coordinates of all 30 atoms:
Li1 0.500 0.500 0.791
Li2 0.000 0.000 0.791
Li3 0.750 0.750 0.916
Li4 0.250 0.750 0.916
Li5 0.000 0.000 0.337
Li6 0.250 0.750 0.084
Li7 0.816 0.316 0.563
Li8 0.500 0.500 0.337
Li9 0.250 0.250 0.916
Li10 0.750 0.750 0.084
Li11 0.316 0.184 0.563
Li12 0.684 0.184 0.437
Li13 0.000 0.000 0.663
Li14 0.184 0.316 0.437
Li15 0.250 0.250 0.084
Li16 0.816 0.684 0.437
Li17 0.684 0.816 0.563
Li18 0.000 0.000 0.209
Li19 0.184 0.684 0.563
Li20 0.500 0.500 0.663
Li21 0.750 0.250 0.916
Li22 0.500 0.500 0.209
Li23 0.316 0.816 0.437
Li24 0.750 0.250 0.084
Ga1 0.500 0.000 0.304
Ga2 0.000 0.500 0.304
Ga3 0.000 0.500 0.696
Ga4 0.500 0.000 0.696
Cu1 0.500 0.000 0.000
Cu2 0.000 0.500 0.000

## Properties
total moment = 0.00 μB per cell
ΔH_f (0 K) = 0.0849 eV per atom

---

# 5
Here is a relaxed structure of NaPuCdBi from the Alexandria database. Energies are from PBE.

Lattice parameters (Å, degrees): 5.431 5.431 5.431 60.00 60.00 60.00
Last column: magnetic moment on the atom in μB.
Fractional coordinates of all 4 atoms:
Na1 0.750 0.750 0.750  0.01
Cd1 0.000 0.000 0.000  0.03
Bi1 0.500 0.500 0.500  -0.09
Pu1 0.250 0.250 0.250  5.59

## Properties
total moment = 5.96 μB per cell
ΔH_f (0 K) = -0.1934 eV per atom

---

# 6
Here is a relaxed structure of CdHgAs2 from the Alexandria database. Energies are from PBE.

Lattice parameters (Å, degrees): 3.187 3.187 8.978 90.00 90.00 103.59
Fractional coordinates of all 4 atoms:
As1 0.000 0.000 0.018
As2 0.000 0.000 0.482
Hg1 0.500 0.500 0.750
Cd1 0.500 0.500 0.250

## Properties
total moment = 0.00 μB per cell
ΔH_f (0 K) = 0.2865 eV per atom
energy above the lowest structure with this stoichiometry = 0.265 eV/atom

---

# 7
Here is a relaxed structure of BaGdPd2 from the Alexandria database. Energies are from PBE.

Lattice parameters (Å, degrees): 3.677 3.677 7.629 90.00 90.00 90.00
Last column: magnetic moment on the atom in μB.
Fractional coordinates of all 4 atoms:
Gd1 0.500 0.500 0.000  7.03
Ba1 0.500 0.500 0.500  -0.01
Pd1 0.000 0.000 0.803  0.00
Pd2 0.000 0.000 0.197  0.00

## Properties
total moment = 7.10 μB per cell
ΔH_f (0 K) = -0.6799 eV per atom
energy above the lowest structure with this stoichiometry = 0.000 eV/atom

---

# 8
Here is a relaxed structure of PuHgSe2 from the Alexandria database. Energies are from PBE.

Lattice parameters (Å, degrees): 4.137 4.137 10.337 78.46 78.46 60.00
Last column: magnetic moment on the atom in μB.
Fractional coordinates of all 4 atoms:
Pu1 0.500 0.500 0.500  4.64
Hg1 0.000 0.000 0.000  -0.04
Se1 0.117 0.117 0.648  -0.23
Se2 0.883 0.883 0.352  -0.23

## Properties
total moment = 3.98 μB per cell
energy relative to the elements, uncorrected = -83.9 kJ/mol of atoms
energy above the lowest structure with this stoichiometry = 0.002 eV/atom

---

# 9
Here is a relaxed structure of NaAg12Pd7 from the Alexandria database. Energies are from PBE.

Lattice parameters (Å, degrees): 8.454 8.454 8.454 109.47 109.47 109.47
Fractional coordinates of all 20 atoms:
Na1 0.000 0.000 0.000
Ag1 0.358 0.250 0.607
Ag2 0.358 0.750 0.108
Ag3 0.642 0.750 0.393
Ag4 0.642 0.250 0.892
Ag5 0.607 0.358 0.250
Ag6 0.892 0.642 0.250
Ag7 0.393 0.642 0.750
Ag8 0.108 0.358 0.750
Ag9 0.750 0.108 0.358
Ag10 0.250 0.892 0.642
Ag11 0.250 0.607 0.358
Ag12 0.750 0.393 0.642
Pd1 0.500 0.000 0.500
Pd2 0.500 0.500 0.000
Pd3 0.000 0.500 0.500
Pd4 0.000 0.000 0.500
Pd5 0.500 0.000 0.000
Pd6 0.500 0.500 0.500
Pd7 0.000 0.500 0.000

## Properties
total moment = 0.00 μB per cell
ΔH_f (0 K) = 0.3516 eV per atom

---

# 10
Here is a relaxed structure of AcCeZnPb from the Alexandria database. Energies are from PBE.

Lattice parameters (Å, degrees): 5.575 5.575 5.575 60.00 60.00 60.00
Last column: magnetic moment on the atom in μB.
Fractional coordinates of all 4 atoms:
Pb1 0.500 0.500 0.500  -0.01
Ac1 0.750 0.750 0.750  0.04
Zn1 0.000 0.000 0.000  0.02
Ce1 0.250 0.250 0.250  0.94

## Properties
total moment = 1.25 μB per cell
ΔH_f (0 K) = -0.2641 eV per atom

---

# 11
Here is a relaxed structure of FeReRh6 from the Alexandria database. Energies are from PBE.

Lattice parameters (Å, degrees): 3.831 3.831 7.665 90.00 90.00 90.00
Last column: magnetic moment on the atom in μB.
Fractional coordinates of all 8 atoms:
Fe1 0.000 0.000 0.000  3.11
Re1 0.000 0.000 0.500  0.04
Rh1 0.500 0.500 0.000  0.22
Rh2 0.500 0.500 0.500  0.04
Rh3 0.500 0.000 0.252  0.14
Rh4 0.500 0.000 0.748  0.14
Rh5 0.000 0.500 0.252  0.14
Rh6 0.000 0.500 0.748  0.14

## Properties
total moment = 3.93 μB per cell
ΔH_f (0 K) = -0.0796 eV per atom

---

# 12
Here is a relaxed structure of SrY2Sc from the Alexandria database. Energies are from PBE.

Lattice parameters (Å, degrees): 6.941 6.941 6.941 148.03 129.14 61.35
Fractional coordinates of all 4 atoms:
Sc1 0.250 0.750 0.500
Sr1 0.750 0.250 0.500
Y1 0.026 0.026 0.000
Y2 0.474 0.474 0.000

## Properties
total moment = 0.00 μB per cell
ΔH_f (0 K) = 0.2156 eV per atom
energy above the lowest structure with this stoichiometry = 0.107 eV/atom

---

# 13
Here is a relaxed structure of TbPmNdHg from the Alexandria database. Energies are from PBE.

Lattice parameters (Å, degrees): 5.506 5.506 5.506 60.00 60.00 60.00
Fractional coordinates of all 4 atoms:
Nd1 0.250 0.250 0.250
Tb1 0.750 0.750 0.750
Hg1 0.500 0.500 0.500
Pm1 0.000 0.000 0.000

## Properties
total moment = 0.01 μB per cell
ΔH_f (0 K) = -0.0453 eV per atom
energy above the lowest structure with this stoichiometry = 0.187 eV/atom

---

# 14
Here is a relaxed structure of DyRe2AgO8 from the Alexandria database. Energies are from PBE.

Lattice parameters (Å, degrees): 6.280 6.280 6.713 90.00 90.00 120.00
Fractional coordinates of all 12 atoms:
Dy1 0.000 0.000 0.500
Re1 0.667 0.333 0.241
Re2 0.333 0.667 0.759
Ag1 0.000 0.000 0.000
O1 0.333 0.667 0.020
O2 0.352 0.176 0.320
O3 0.824 0.176 0.320
O4 0.667 0.333 0.980
O5 0.176 0.824 0.680
O6 0.648 0.824 0.680
O7 0.176 0.352 0.680
O8 0.824 0.648 0.320

## Properties
total moment = 0.00 μB per cell
energy relative to the elements, uncorrected = -164.4 kJ/mol of atoms

---

# 15
Here is a relaxed structure of In6GaBi2 from the Alexandria database. Energies are from PBE.

Lattice parameters (Å, degrees): 5.100 6.603 9.703 60.54 90.00 112.72
Fractional coordinates of all 9 atoms:
In1 0.659 0.318 0.913
In2 0.341 0.682 0.087
In3 0.990 0.980 0.178
In4 0.335 0.669 0.427
In5 0.010 0.020 0.822
In6 0.665 0.331 0.573
Ga1 0.000 0.000 0.500
Bi1 0.345 0.690 0.752
Bi2 0.655 0.310 0.248

## Properties
total moment = 0.00 μB per cell
ΔH_f (0 K) = 0.0405 eV per atom
energy above the lowest structure with this stoichiometry = 0.000 eV/atom

---

# 16
Here is a relaxed structure of NaLaNF2 from the Alexandria database. Energies are from PBE.

Lattice parameters (Å, degrees): 3.989 3.989 4.494 90.00 90.00 90.00
Last column: magnetic moment on the atom in μB.
Fractional coordinates of all 5 atoms:
Na1 0.000 0.000 0.000  0.03
N1 0.000 0.000 0.500  0.61
F1 0.000 0.500 0.000  0.03
F2 0.500 0.000 0.000  0.03
La1 0.500 0.500 0.500  -0.03

## Properties
total moment = 1.00 μB per cell
energy relative to the elements, uncorrected = -177.0 kJ/mol of atoms
energy above the lowest structure with this stoichiometry = 0.233 eV/atom

---

# 17
Here is a relaxed structure of AgSnAsO5 from the Alexandria database. Energies are from PBE.

Lattice parameters (Å, degrees): 5.820 5.820 7.443 105.29 105.29 103.95
Fractional coordinates of all 16 atoms:
Ag1 0.331 0.669 0.250
Ag2 0.669 0.331 0.750
Sn1 0.000 0.000 0.500
Sn2 0.000 0.000 0.000
As1 0.681 0.319 0.250
As2 0.319 0.681 0.750
O1 0.080 0.920 0.250
O2 0.920 0.080 0.750
O3 0.890 0.315 0.122
O4 0.110 0.685 0.878
O5 0.685 0.110 0.378
O6 0.315 0.890 0.622
O7 0.750 0.618 0.415
O8 0.250 0.382 0.585
O9 0.382 0.250 0.085
O10 0.618 0.750 0.915

## Properties
total moment = 0.00 μB per cell
energy relative to the elements, uncorrected = -110.1 kJ/mol of atoms

---

# 18
Here is a relaxed structure of TlTcW2 from the Alexandria database. Energies are from PBE.

Lattice parameters (Å, degrees): 3.316 4.489 4.567 90.00 90.00 90.00
Fractional coordinates of all 4 atoms:
Tc1 0.500 0.000 0.500
Tl1 0.000 0.500 0.500
W1 0.000 0.000 0.000
W2 0.500 0.500 0.000

## Properties
total moment = 0.00 μB per cell
ΔH_f (0 K) = 0.7408 eV per atom
energy above the lowest structure with this stoichiometry = 0.192 eV/atom

---

# 19
Here is a relaxed structure of BS4F from the Alexandria database. Energies are from PBE.

Lattice parameters (Å, degrees): 4.934 4.832 12.128 100.36 98.32 110.56
Fractional coordinates of all 12 atoms:
B1 0.240 0.489 0.483
B2 0.760 0.511 0.517
S1 0.077 0.905 0.891
S2 0.741 0.695 0.960
S3 0.991 0.654 0.407
S4 0.009 0.346 0.593
S5 0.600 0.779 0.593
S6 0.259 0.305 0.040
S7 0.400 0.221 0.407
S8 0.923 0.095 0.109
F1 0.597 0.348 0.838
F2 0.403 0.652 0.162

## Properties
total moment = 0.00 μB per cell
energy relative to the elements, uncorrected = -26.6 kJ/mol of atoms

---

# 20
Here is a relaxed structure of LiTc2Hg from the Alexandria database. Energies are from PBE.

Lattice parameters (Å, degrees): 5.216 5.216 4.119 74.04 74.04 35.74
Fractional coordinates of all 4 atoms:
Hg1 0.750 0.750 0.750
Li1 0.250 0.250 0.250
Tc1 0.000 0.000 0.023
Tc2 0.500 0.500 0.477

## Properties
total moment = 0.00 μB per cell
ΔH_f (0 K) = 0.3282 eV per atom